A relaxed Ta2SbSe crystal. Source: Alexandria, functional PBE.

Values from the calculation:
ΔE to the lowest computed polymorph = 0.591 eV/atom
Space group = C2/m (12)
ΔE_f (raw) = 378 meV per atom
Total DFT energy (no corrections) = -7.45 eV/atom
Crystal system = monoclinic

Structure (extended XYZ):
```
4
Lattice="-2.308 3.030 -3.741 3.353 -3.539 -2.175 -1.981 -2.065 -1.502" Properties=species:S:1:pos:R:3 pbc="T T T"
Sb -2.145 0.483 -2.622
Se 0.686 -2.802 -1.839
Ta 0.000 0.000 0.000
Ta 0.523 -0.255 -2.958
```

---

A relaxed TaSbSe2 crystal. Source: Alexandria, functional PBE.

Values from the calculation:
Space group = C2/m (12)
ΔE_f (raw) = -63 meV per atom
Total DFT energy (no corrections) = -5.80 eV/atom
Crystal system = monoclinic

Structure (extended XYZ):
```
4
Lattice="4.616 -0.001 -0.004 3.368 3.156 -0.004 0.787 0.311 6.095" Properties=species:S:1:pos:R:3 pbc="T T T"
Sb 2.193 0.867 1.522
Se 1.052 0.416 5.753
Se 4.121 1.629 3.387
Ta 6.578 2.600 4.566
```

---

A relaxed TaSb2Se crystal. Source: Alexandria, functional PBE.

Values from the calculation:
Space group = Immm (71)
ΔE_f (raw) = 166 meV per atom
Total DFT energy (no corrections) = -5.73 eV/atom
Crystal system = orthorhombic

Structure (extended XYZ):
```
4
Lattice="-3.636 0.860 6.195 -6.963 0.750 1.813 5.595 -3.385 -3.094" Properties=species:S:1:pos:R:3 pbc="T T T"
Sb -9.929 1.509 7.501
Sb -5.970 0.907 4.511
Se -3.334 -0.915 1.361
Ta -1.670 -0.860 3.552
```

---

A relaxed Ta2SbSe crystal. Source: Alexandria, functional PBE.

Values from the calculation:
ΔE to the lowest computed polymorph = 0.000 eV/atom
Space group = R3m (160)
ΔE_f (raw) = -213 meV per atom
Total DFT energy (no corrections) = -8.04 eV/atom
Crystal system = trigonal

Structure (extended XYZ):
```
4
Lattice="10.300 0.038 0.022 9.768 3.266 0.022 9.768 1.608 2.842" Properties=species:S:1:pos:R:3 pbc="T T T"
Sb 15.460 2.545 1.496
Se 21.586 3.554 2.089
Ta 29.774 4.902 2.881
Ta 7.772 1.280 0.752
```

---

A relaxed Ta2SbSe crystal. Source: Alexandria, functional PBE.

Values from the calculation:
ΔE to the lowest computed polymorph = 0.245 eV/atom
Space group = P4/mmm (123)
ΔE_f (raw) = 32 meV per atom
Total DFT energy (no corrections) = -7.80 eV/atom
Crystal system = tetragonal

Structure (extended XYZ):
```
4
Lattice="3.314 0.000 0.000 0.000 3.314 0.000 0.000 0.000 6.708" Properties=species:S:1:pos:R:3 pbc="T T T"
Sb 1.657 1.657 1.677
Se 1.657 1.657 5.031
Ta 0.000 0.000 6.589
Ta 0.000 0.000 3.474
```

---

A relaxed TaSbSe crystal. Source: Alexandria, functional PBE.

Values from the calculation:
Space group = Cm (8)
ΔE_f (raw) = -303 meV per atom
Total DFT energy (no corrections) = -6.79 eV/atom
Crystal system = monoclinic

Structure (extended XYZ):
```
3
Lattice="-4.369 0.631 -6.059 -5.516 -2.137 -4.923 -2.683 1.405 1.046" Properties=species:S:1:pos:R:3 pbc="T T T"
Sb -8.185 -0.738 -4.373
Se -4.805 0.551 -2.343
Ta -7.778 -0.647 -7.096
```

---

A relaxed Ta2SbSe crystal. Source: Alexandria, functional PBE.

Values from the calculation:
ΔE to the lowest computed polymorph = 0.665 eV/atom
Space group = F-43m (216)
ΔE_f (raw) = 452 meV per atom
Total DFT energy (no corrections) = -7.38 eV/atom
Crystal system = cubic

Structure (extended XYZ):
```
4
Lattice="-3.683 1.896 -2.424 -1.882 -2.355 -3.735 -4.368 -1.959 0.352" Properties=species:S:1:pos:R:3 pbc="T T T"
Sb -4.966 -1.209 -2.904
Se -7.450 -1.814 -4.355
Ta 0.000 0.000 0.000
Ta -2.483 -0.605 -1.452
```

---

A relaxed TaSb2Se crystal. Source: Alexandria, functional PBE.

Values from the calculation:
Space group = Pmmm (47)
ΔE_f (raw) = 449 meV per atom
Total DFT energy (no corrections) = -5.45 eV/atom
Crystal system = orthorhombic

Structure (extended XYZ):
```
4
Lattice="-1.948 -2.343 -1.449 4.014 -2.879 -0.742 -0.747 -2.230 4.610" Properties=species:S:1:pos:R:3 pbc="T T T"
Sb 0.000 0.000 0.000
Sb 1.033 -2.611 -1.095
Se -1.348 -2.286 1.581
Ta 1.633 -2.554 1.934
```

---

What is the ΔE_f (raw) in the sixth record? -303 meV per atom

---

Among the records above, which one has the highest total DFT energy (no corrections)? number 8

---

The highest total DFT energy (no corrections) belongs to which entry? number 8

---

Number 4 is which compound? Ta2SbSe